14
Lattice="4.425 0.000 0.000 0.000 4.525 0.000 0.000 0.000 19.620" Properties=species:S:1:pos:R:3 comment="Nd2Sn5, optimized geometry, DFT PBE" vol_a3_per_cell=392.8 final_energy_ev_per_atom=-4.784 crystal_system=orthorhombic spacegroup=Pmmn pbc="T T T"
Nd 0.000 2.262 3.877
Nd 0.000 0.000 12.336
Nd 2.212 2.262 7.284
Nd 2.212 0.000 15.743
Sn 0.000 0.000 18.180
Sn 2.212 2.262 12.934
Sn 0.000 0.000 1.467
Sn 2.212 0.000 4.639
Sn 2.212 0.000 9.771
Sn 0.000 0.000 6.686
Sn 0.000 2.262 9.849
Sn 2.212 2.262 18.153
Sn 0.000 2.262 14.981
Sn 2.212 2.262 1.440

---

4
Lattice="0.000 3.365 3.365 3.365 0.000 3.365 3.365 3.365 0.000" Properties=species:S:1:pos:R:3 comment="LuTcNiPb, optimized geometry, DFT PBE" vol_a3_per_cell=76.2 polymorph_energy_mev_per_atom=387 crystal_system=cubic spacegroup=F-43m pbc="T T T"
Ni 5.048 5.048 5.048
Tc 3.365 3.365 3.365
Pb 0.000 0.000 0.000
Lu 1.683 1.683 1.683

---

10
Lattice="-1.781 -2.639 -0.024 2.409 -1.614 -1.315 5.392 -3.773 14.505" Properties=species:S:1:pos:R:3 comment="Ta5Tc4Os, optimized geometry, DFT PBE" vol_a3_per_cell=161.5 crystal_system=tetragonal spacegroup=P4/mmm formation_energy_ev_per_atom=-0.462 pbc="T T T"
Tc 2.157 -1.509 5.802
Tc 4.316 -3.020 11.611
Tc 1.076 -0.753 2.894
Tc 3.235 -2.264 8.703
Ta 0.869 -2.514 0.823
Ta 5.151 -5.511 12.343
Ta 1.937 -3.262 3.697
Ta 4.083 -4.763 9.469
Ta 3.010 -4.013 6.583
Os 0.000 0.000 0.000

---

2
Lattice="-0.186 -2.838 2.886 -1.475 0.925 3.660 -3.591 -1.470 1.168" Properties=species:S:1:pos:R:3 comment="ReAu, optimized geometry, DFT PBE" vol_a3_per_cell=47.1 polymorph_energy_mev_per_atom=1564 crystal_system=cubic spacegroup=F-43m formation_energy_ev_per_atom=2.148 pbc="T T T"
Re -1.313 -0.846 1.929
Au 0.000 0.000 0.000

---

6
Lattice="4.436 0.000 0.000 -2.218 3.842 0.000 0.000 0.000 10.940" Properties=species:S:1:pos:R:3 comment="Ho2ErBi3, optimized geometry, DFT PBE" vol_a3_per_cell=186.5 final_energy_ev_per_atom=-5.156 crystal_system=trigonal spacegroup=P-3m1 pbc="T T T"
Bi 0.000 0.000 0.000
Bi 2.218 1.281 7.292
Bi 0.000 2.561 3.648
Ho 0.000 2.561 9.116
Ho 2.218 1.281 1.823
Er 0.000 0.000 5.470

---

4
Lattice="3.017 1.381 3.087 -0.781 -0.708 4.408 2.466 -3.044 2.278" Properties=species:S:1:pos:R:3 comment="SrCoCuW, optimized geometry, DFT PBE" vol_a3_per_cell=65.8 polymorph_energy_mev_per_atom=101 crystal_system=cubic spacegroup=F-43m pbc="T T T"
W 1.176 -0.593 2.443
Sr 2.351 -1.186 4.886
Co 0.000 0.000 0.000
Cu 3.527 -1.779 7.329

---

4
Lattice="0.000 3.310 3.310 3.310 0.000 3.310 3.310 3.310 0.000" Properties=species:S:1:pos:R:3 comment="LiYHfNi, optimized geometry, DFT PBE" vol_a3_per_cell=72.5 polymorph_energy_mev_per_atom=227 crystal_system=cubic spacegroup=F-43m pbc="T T T"
Ni 3.310 3.310 3.310
Li 4.964 4.964 4.964
Hf 1.655 1.655 1.655
Y 0.000 0.000 0.000

---

19
Lattice="5.978 -0.013 0.005 -0.013 6.113 -0.007 0.007 -0.010 8.529" Properties=species:S:1:pos:R:3 comment="Ac4Er4O11, optimized geometry, DFT PBE" vol_a3_per_cell=311.7 polymorph_energy_mev_per_atom=3 crystal_system=triclinic spacegroup=P1 pbc="T T T"
O 1.176 1.210 4.756
O 5.328 3.312 6.400
O 4.766 4.870 3.767
O 4.162 1.835 3.757
O 1.784 4.279 4.757
O 4.773 4.853 0.502
O 0.654 2.783 2.122
O 3.637 0.250 6.392
O 1.788 4.274 8.026
O 2.349 5.833 2.108
O 1.224 1.216 8.034
Er 2.985 -0.008 4.265
Er -0.003 3.053 4.266
Er 0.028 3.043 8.521
Er 2.983 6.083 8.510
Ac 2.919 2.765 6.379
Ac 0.048 5.840 6.409
Ac 5.934 0.229 2.164
Ac 3.053 3.353 2.161

---

10
Lattice="-8.480 -1.615 -1.030 -6.934 -3.667 -3.748 2.505 -5.337 5.453" Properties=species:S:1:pos:R:3 comment="Sm2Sc2CICl4, optimized geometry, DFT PBE" vol_a3_per_cell=245.7 polymorph_energy_mev_per_atom=28 crystal_system=monoclinic spacegroup=C2/m pbc="T T T"
Cl -11.319 -7.957 -0.431
Cl -12.481 -5.296 -3.100
Cl -1.589 -2.662 1.106
Cl -0.427 -5.324 3.775
Sm -9.773 -3.881 -2.628
Sm -3.135 -6.739 3.303
Sc -13.365 -9.629 -0.332
Sc 0.456 -0.990 1.007
I -6.454 -5.310 0.337
C -7.707 -2.641 -2.389

---

3
Lattice="-2.991 -3.443 2.005 -1.675 0.564 4.657 -4.804 1.041 0.810" Properties=species:S:1:pos:R:3 comment="PrSmMo, optimized geometry, DFT PBE" vol_a3_per_cell=87.4 crystal_system=cubic spacegroup=F-43m formation_energy_ev_per_atom=1.238 pbc="T T T"
Sm 0.000 0.000 0.000
Pr -7.103 -1.378 5.605
Mo -2.368 -0.459 1.868

---

12
Lattice="1.935 -8.048 2.850 5.973 -5.175 3.767 2.013 -5.024 6.881" Properties=species:S:1:pos:R:3 comment="PrNd2Ni9, optimized geometry, DFT PBE" vol_a3_per_cell=181.6 crystal_system=trigonal spacegroup=R-3m formation_energy_ev_per_atom=-0.311 pbc="T T T"
Ni 4.960 -9.124 6.749
Ni 6.621 -12.178 9.008
Ni 4.795 -6.581 6.416
Ni 7.139 -10.233 7.539
Ni 4.756 -8.090 4.406
Ni 5.125 -11.666 7.082
Ni 5.164 -10.158 9.092
Ni 2.782 -8.014 5.959
Ni 3.300 -6.069 4.490
Nd 1.378 -2.535 1.875
Nd 8.543 -15.713 11.623
Pr 0.000 0.000 0.000

---

2
Lattice="0.000 2.645 2.645 2.645 0.000 2.645 2.645 2.645 0.000" Properties=species:S:1:pos:R:3 comment="ZrB, optimized geometry, DFT PBE" vol_a3_per_cell=37.0 final_energy_ev_per_atom=-7.092 crystal_system=cubic spacegroup=F-43m pbc="T T T"
Zr 1.323 1.323 1.323
B 0.000 0.000 0.000